(1)
# Ho2Hf2In3 | the Alexandria database | GGA-PBE | relaxed
# energy relative to the elements: -1.0 eV per formula unit
# N(E_F): 13.56 states/eV/cell
# theoretical density: 10.0 g/cm3
data_Ho2Hf2In3
_space_group_name_H-M_alt 'C m m m'
_space_group_IT_number 65
_space_group_name_Hall '-C 2 2'
_cell_length_a 4.694
_cell_length_b 22.623
_cell_length_c 3.212
_cell_angle_alpha 90.00
_cell_angle_beta 90.00
_cell_angle_gamma 90.00
loop_
_atom_site_label
_atom_site_fract_x
_atom_site_fract_y
_atom_site_fract_z
_atom_site_occupancy
Ho1 0.000 0.074 0.000 1
Hf1 0.000 0.211 0.000 1
In1 0.000 0.342 0.500 1
In2 0.000 0.500 0.500 1

(2)
# Sr2Zn6CuRh | the Alexandria database | GGA-PBE | relaxed
# energy relative to the elements: -2.0 eV per formula unit
# N(E_F): 9.28 states/eV/cell
# theoretical density: 5.5 g/cm3
data_Sr2Zn6CuRh
_space_group_name_H-M_alt 'I m m m'
_space_group_IT_number 71
_space_group_name_Hall '-I 2 2'
_cell_length_a 6.769
_cell_length_b 6.795
_cell_length_c 9.581
_cell_angle_alpha 90.00
_cell_angle_beta 90.00
_cell_angle_gamma 90.00
loop_
_atom_site_label
_atom_site_fract_x
_atom_site_fract_y
_atom_site_fract_z
_atom_site_occupancy
Sr1 0.000 0.000 0.250 1
Zn1 0.000 0.500 0.246 1
Zn2 0.246 0.254 0.000 1
Cu1 0.000 0.500 0.000 1
Rh1 0.000 0.500 0.500 1